The following is a DFT calculation (PBE) of TaTlTe3Au after structural relaxation.

```
data_TaTlTe3Au
_space_group_name_H-M_alt 'P 1'
_space_group_IT_number 1
_space_group_name_Hall 'P 1'
_cell_length_a 8.3131
_cell_length_b 8.3131
_cell_length_c 10.6509
_cell_angle_alpha 90.00
_cell_angle_beta 90.00
_cell_angle_gamma 153.29
loop_
_atom_site_label
_atom_site_type_symbol
_atom_site_fract_x
_atom_site_fract_y
_atom_site_fract_z
_atom_site_occupancy
Ta1 Ta 0.0000 0.0000 0.0000 1
Ta2 Ta 0.0000 0.0000 0.5000 1
Tl1 Tl 0.2335 0.7665 0.7500 1
Tl2 Tl 0.7665 0.2335 0.2500 1
Te1 Te 0.0802 0.9198 0.2500 1
Te2 Te 0.3710 0.6290 0.0308 1
Te3 Te 0.3710 0.6290 0.4692 1
Te4 Te 0.6290 0.3710 0.5308 1
Te5 Te 0.6290 0.3710 0.9692 1
Te6 Te 0.9198 0.0802 0.7500 1
Au1 Au 0.4554 0.5446 0.2500 1
Au2 Au 0.5446 0.4554 0.7500 1
```

final energy = -27.6 eV per formula unit

The following is a DFT calculation (PBE) of ThTaAu after structural relaxation.

```
data_ThTaAu
_space_group_name_H-M_alt 'P 1'
_space_group_IT_number 1
_space_group_name_Hall 'P 1'
_cell_length_a 4.8223
_cell_length_b 4.8223
_cell_length_c 4.8223
_cell_angle_alpha 60.00
_cell_angle_beta 60.00
_cell_angle_gamma 60.00
loop_
_atom_site_label
_atom_site_type_symbol
_atom_site_fract_x
_atom_site_fract_y
_atom_site_fract_z
_atom_site_occupancy
Th1 Th 0.0000 0.0000 0.0000 1
Ta1 Ta 0.5000 0.5000 0.5000 1
Au1 Au 0.7500 0.7500 0.7500 1
```

energy above the most stable polymorph in this dataset = 0.0000 eV/atom
formation enthalpy at 0 K = 0.48 eV/atom